# 1
# PBE Pr7Cd2Pt2, optimized geometry
data_Pr7Cd2Pt2
_chemical_formula_sum 'Pr7 Cd2 Pt2'
_symmetry_space_group_name_H-M 'P 1'
_symmetry_Int_Tables_number 1
_symmetry_space_group_name_Hall 'P 1'
_cell_length_a 7.1020
_cell_length_b 7.1020
_cell_length_c 7.4379
_cell_angle_alpha 90.00
_cell_angle_beta 90.00
_cell_angle_gamma 107.55
loop_
_atom_site_label
_atom_site_type_symbol
_atom_site_fract_x
_atom_site_fract_y
_atom_site_fract_z
Pr1 Pr 0.0000 0.0000 0.0000
Pr2 Pr 0.0000 0.5000 0.2568
Pr3 Pr 0.0000 0.5000 0.7432
Pr4 Pr 0.5000 0.0000 0.2568
Pr5 Pr 0.5000 0.0000 0.7432
Pr6 Pr 0.5000 0.5000 0.2500
Pr7 Pr 0.5000 0.5000 0.7500
Cd1 Cd 0.1693 0.1693 0.5000
Cd2 Cd 0.8307 0.8307 0.5000
Pt1 Pt 0.2888 0.7112 0.0000
Pt2 Pt 0.7112 0.2888 0.0000
# energy of formation from the pure elements: -0.419 eV per atom
# electronic total energy: -4.7251 eV per atom

# 2
# PBE CrNi, optimized geometry
data_CrNi
_chemical_formula_sum 'Cr1 Ni1'
_symmetry_space_group_name_H-M 'P 1'
_symmetry_Int_Tables_number 1
_symmetry_space_group_name_Hall 'P 1'
_cell_length_a 2.8953
_cell_length_b 2.8953
_cell_length_c 2.8953
_cell_angle_alpha 90.00
_cell_angle_beta 90.00
_cell_angle_gamma 90.00
loop_
_atom_site_label
_atom_site_type_symbol
_atom_site_fract_x
_atom_site_fract_y
_atom_site_fract_z
Cr1 Cr 0.0000 0.0000 0.0000
Ni1 Ni 0.5000 0.5000 0.5000
# energy of formation from the pure elements: 0.251 eV per atom
# electronic total energy: -7.4511 eV per atom

# 3
# PBE Pm5PuAg4, optimized geometry
data_Pm5PuAg4
_chemical_formula_sum 'Pm5 Pu1 Ag4'
_symmetry_space_group_name_H-M 'P 1'
_symmetry_Int_Tables_number 1
_symmetry_space_group_name_Hall 'P 1'
_cell_length_a 3.6634
_cell_length_b 3.6634
_cell_length_c 20.0768
_cell_angle_alpha 90.00
_cell_angle_beta 90.00
_cell_angle_gamma 90.00
loop_
_atom_site_label
_atom_site_type_symbol
_atom_site_fract_x
_atom_site_fract_y
_atom_site_fract_z
Pm1 Pm 0.0000 0.0000 0.0000
Pm2 Pm 0.0000 0.0000 0.1907
Pm3 Pm 0.0000 0.0000 0.3812
Pm4 Pm 0.0000 0.0000 0.6188
Pm5 Pm 0.0000 0.0000 0.8093
Pu1 Pu 0.5000 0.5000 0.5000
Ag1 Ag 0.5000 0.5000 0.0954
Ag2 Ag 0.5000 0.5000 0.2869
Ag3 Ag 0.5000 0.5000 0.7131
Ag4 Ag 0.5000 0.5000 0.9046
# energy of formation from the pure elements: -0.173 eV per atom
# electronic total energy: -5.1223 eV per atom

# 4
# PBE GaHgIrPd2, optimized geometry
data_GaHgIrPd2
_chemical_formula_sum 'Ga1 Hg1 Ir1 Pd2'
_symmetry_space_group_name_H-M 'P 1'
_symmetry_Int_Tables_number 1
_symmetry_space_group_name_Hall 'P 1'
_cell_length_a 4.5385
_cell_length_b 4.5385
_cell_length_c 4.8671
_cell_angle_alpha 90.00
_cell_angle_beta 90.00
_cell_angle_gamma 90.00
loop_
_atom_site_label
_atom_site_type_symbol
_atom_site_fract_x
_atom_site_fract_y
_atom_site_fract_z
Ga1 Ga 0.0000 0.0000 0.0000
Hg1 Hg 0.0000 0.0000 0.5000
Ir1 Ir 0.5000 0.5000 0.5000
Pd1 Pd 0.0000 0.5000 0.0000
Pd2 Pd 0.5000 0.0000 0.0000
# energy of formation from the pure elements: 0.947 eV per atom
# electronic total energy: -3.5682 eV per atom

# 5
# PBE Cs6IBr4, optimized geometry
data_Cs6IBr4
_chemical_formula_sum 'Cs12 I2 Br8'
_symmetry_space_group_name_H-M 'P 1'
_symmetry_Int_Tables_number 1
_symmetry_space_group_name_Hall 'P 1'
_cell_length_a 10.7360
_cell_length_b 10.7360
_cell_length_c 10.7360
_cell_angle_alpha 89.51
_cell_angle_beta 89.51
_cell_angle_gamma 89.51
loop_
_atom_site_label
_atom_site_type_symbol
_atom_site_fract_x
_atom_site_fract_y
_atom_site_fract_z
Cs1 Cs 0.0592 0.8832 0.6813
Cs2 Cs 0.1168 0.3187 0.9408
Cs3 Cs 0.1813 0.3832 0.5592
Cs4 Cs 0.3187 0.9408 0.1168
Cs5 Cs 0.3832 0.5592 0.1813
Cs6 Cs 0.4408 0.8187 0.6168
Cs7 Cs 0.5592 0.1813 0.3832
Cs8 Cs 0.6168 0.4408 0.8187
Cs9 Cs 0.6813 0.0592 0.8832
Cs10 Cs 0.8187 0.6168 0.4408
Cs11 Cs 0.8832 0.6813 0.0592
Cs12 Cs 0.9408 0.1168 0.3187
I1 I 0.0000 0.0000 0.0000
I2 I 0.5000 0.5000 0.5000
Br1 Br 0.1329 0.7500 0.3671
Br2 Br 0.2500 0.2500 0.2500
Br3 Br 0.2500 0.6329 0.8671
Br4 Br 0.3671 0.1329 0.7500
Br5 Br 0.6329 0.8671 0.2500
Br6 Br 0.7500 0.3671 0.1329
Br7 Br 0.7500 0.7500 0.7500
Br8 Br 0.8671 0.2500 0.6329
# electronic total energy: -2.6693 eV per atom

# 6
# PBE LaTaTe2, optimized geometry
data_LaTaTe2
_chemical_formula_sum 'La2 Ta2 Te4'
_symmetry_space_group_name_H-M 'P 1'
_symmetry_Int_Tables_number 1
_symmetry_space_group_name_Hall 'P 1'
_cell_length_a 9.3994
_cell_length_b 9.3994
_cell_length_c 9.3994
_cell_angle_alpha 144.96
_cell_angle_beta 144.96
_cell_angle_gamma 50.40
loop_
_atom_site_label
_atom_site_type_symbol
_atom_site_fract_x
_atom_site_fract_y
_atom_site_fract_z
La1 La 0.0000 0.0000 0.0000
La2 La 0.7500 0.2500 0.5000
Ta1 Ta 0.2500 0.7500 0.5000
Ta2 Ta 0.5000 0.5000 0.0000
Te1 Te 0.2012 0.6250 0.0762
Te2 Te 0.3750 0.4512 0.5762
Te3 Te 0.5488 0.1250 0.9238
Te4 Te 0.8750 0.7988 0.4238
# E above lowest polymorph: 0.471 eV per atom
# electronic total energy: -5.8317 eV per atom

# 7
# PBE Zr2Ag3Hg, optimized geometry
data_Zr2Ag3Hg
_chemical_formula_sum 'Zr4 Ag6 Hg2'
_symmetry_space_group_name_H-M 'P 1'
_symmetry_Int_Tables_number 1
_symmetry_space_group_name_Hall 'P 1'
_cell_length_a 9.6901
_cell_length_b 8.8779
_cell_length_c 5.6326
_cell_angle_alpha 80.42
_cell_angle_beta 64.61
_cell_angle_gamma 34.97
loop_
_atom_site_label
_atom_site_type_symbol
_atom_site_fract_x
_atom_site_fract_y
_atom_site_fract_z
Zr1 Zr 0.2487 0.7513 0.7513
Zr2 Zr 0.2500 0.2500 0.2500
Zr3 Zr 0.7500 0.7500 0.7500
Zr4 Zr 0.7513 0.2487 0.2487
Ag1 Ag 0.1653 0.1653 0.8347
Ag2 Ag 0.1657 0.6695 0.3305
Ag3 Ag 0.3305 0.8343 0.1657
Ag4 Ag 0.6695 0.1657 0.8343
Ag5 Ag 0.8343 0.3305 0.6695
Ag6 Ag 0.8347 0.8347 0.1653
Hg1 Hg 0.3336 0.3336 0.6664
Hg2 Hg 0.6664 0.6664 0.3336
# energy of formation from the pure elements: -0.096 eV per atom
# electronic total energy: -4.4210 eV per atom

# 8
# PBE LaIn2Br, optimized geometry
data_LaIn2Br
_chemical_formula_sum 'La1 In2 Br1'
_symmetry_space_group_name_H-M 'P 1'
_symmetry_Int_Tables_number 1
_symmetry_space_group_name_Hall 'P 1'
_cell_length_a 6.0969
_cell_length_b 6.0969
_cell_length_c 3.5507
_cell_angle_alpha 90.00
_cell_angle_beta 90.00
_cell_angle_gamma 117.86
loop_
_atom_site_label
_atom_site_type_symbol
_atom_site_fract_x
_atom_site_fract_y
_atom_site_fract_z
La1 La 0.0000 0.0000 0.0000
In1 In 0.0000 0.5000 0.5000
In2 In 0.5000 0.0000 0.5000
Br1 Br 0.5000 0.5000 0.0000
# E above lowest polymorph: 0.170 eV per atom
# electronic total energy: -3.5124 eV per atom

What did the sixth record say?
# PBE LaTaTe2, optimized geometry
data_LaTaTe2
_chemical_formula_sum 'La2 Ta2 Te4'
_symmetry_space_group_name_H-M 'P 1'
_symmetry_Int_Tables_number 1
_symmetry_space_group_name_Hall 'P 1'
_cell_length_a 9.3994
_cell_length_b 9.3994
_cell_length_c 9.3994
_cell_angle_alpha 144.96
_cell_angle_beta 144.96
_cell_angle_gamma 50.40
loop_
_atom_site_label
_atom_site_type_symbol
_atom_site_fract_x
_atom_site_fract_y
_atom_site_fract_z
La1 La 0.0000 0.0000 0.0000
La2 La 0.7500 0.2500 0.5000
Ta1 Ta 0.2500 0.7500 0.5000
Ta2 Ta 0.5000 0.5000 0.0000
Te1 Te 0.2012 0.6250 0.0762
Te2 Te 0.3750 0.4512 0.5762
Te3 Te 0.5488 0.1250 0.9238
Te4 Te 0.8750 0.7988 0.4238
# E above lowest polymorph: 0.471 eV per atom
# electronic total energy: -5.8317 eV per atom